Model 1:
Here is a geometry-optimized Zn2Si2F structure from Alexandria via LeMat-Bulk. Energies are from PBE-GGA.

Values from the calculation:
SG = P4/mbm, No. 127
Mass density = 4.433 g/cm³
Crystal system = tetragonal
V = 154.3 Å³/cell
Magnetic moment = 0.00 μB/cell

Geometry as POSCAR:
```
Zn2Si2F
1.0
7.609 0.000 0.000
0.000 7.609 0.000
0.000 0.000 2.665
Zn Si F
4 4 2
Cartesian
2.496 6.301 0.000
6.301 5.113 0.000
5.113 1.308 0.000
1.308 2.496 0.000
0.982 4.786 1.333
4.786 6.627 1.333
6.627 2.823 1.333
2.823 0.982 1.333
0.000 0.000 0.000
3.805 3.805 0.000
```



Model 2:
Here is a geometry-optimized Zn2Si2F structure from Alexandria via LeMat-Bulk. Energies are from PBE-GGA.

Values from the calculation:
SG = I4/mmm, No. 139
Mass density = 4.286 g/cm³
Crystal system = tetragonal
V = 79.8 Å³/cell
Magnetic moment = 0.00 μB/cell

Geometry as POSCAR:
```
Zn2Si2F
1.0
3.452 0.000 0.000
0.000 3.452 0.000
1.726 1.726 6.698
Zn Si F
2 2 1
Cartesian
1.726 1.726 1.243
3.452 3.452 5.455
3.452 1.726 3.349
1.726 3.452 3.349
0.000 0.000 0.000
```



Most stable: model 2